(1)
This record from Alexandria describes a relaxed CsRb2Sn2 crystal. The functional is PBE-GGA.

Structure (extended XYZ):
```
10
Lattice="9.7201 0.0000 0.0000 0.0000 9.7201 0.0000 0.0000 0.0000 5.6835" Properties=species:S:1:pos:R:3 pbc="T T T"
Cs 0.0000 0.0000 0.0000
Cs 4.8600 4.8600 0.0000
Rb 1.6730 3.1870 2.8417
Rb 3.1870 8.0471 2.8417
Rb 6.5330 1.6730 2.8417
Rb 8.0471 6.5330 2.8417
Sn 0.9673 5.8273 0.0000
Sn 3.8928 0.9673 0.0000
Sn 5.8273 8.7528 0.0000
Sn 8.7528 3.8928 0.0000
```

Output
Energy relative to the lowest polymorph listed for this composition (meV/atom): 41
Density (g/cm3): 3.35
DFT formation energy (eV/atom): -0.103
Total magnetization (μB/f.u.): 0.00
Symmetry: No. 127

(2)
This record from Alexandria describes a relaxed In5Br crystal. The functional is PBE-GGA.

Structure (extended XYZ):
```
12
Lattice="5.3953 0.0000 0.0000 0.0000 3.5114 0.0000 0.0000 0.0000 18.0329" Properties=species:S:1:pos:R:3 pbc="T T T"
In 0.0000 0.0000 0.0000
In 0.0000 0.0000 5.9007
In 0.0000 1.7557 9.0164
In 0.0000 1.7557 14.9172
In 2.6976 0.0000 2.9651
In 2.6976 0.0000 8.9558
In 2.6976 0.0000 15.0213
In 2.6976 1.7557 6.0049
In 2.6976 1.7557 11.9816
In 2.6976 1.7557 17.9722
Br 0.0000 0.0000 11.9741
Br 0.0000 1.7557 2.9577
```

Output
Energy relative to the lowest polymorph listed for this composition (meV/atom): 12
Density (g/cm3): 6.36
Total magnetization (μB/f.u.): 0.00
Symmetry: No. 38
ΔE_f (raw) (meV per atom): -108

(3)
This record from Alexandria describes a relaxed K2ZrMo crystal. The functional is PBE-GGA.

Structure (extended XYZ):
```
4
Lattice="3.2505 0.0000 0.0000 0.0000 6.6372 0.0000 -0.5313 0.0000 4.9180" Properties=species:S:1:pos:R:3 pbc="T T T"
K 0.6570 0.0000 1.2527
K 2.0622 0.0000 3.6653
Zr 1.6253 3.3186 0.0000
Mo -0.2657 3.3186 2.4590
```

Output
Energy relative to the lowest polymorph listed for this composition (meV/atom): 492
Density (g/cm3): 4.15
DFT formation energy (eV/atom): 1.190
Total magnetization (μB/f.u.): 0.15
Symmetry: No. 10

(4)
This record from Alexandria describes a relaxed LaSm4Th3S8 crystal. The functional is PBE-GGA.

Structure (extended XYZ):
```
16
Lattice="4.0123 2.3165 6.6721 -4.0123 2.3165 6.6721 0.0000 -4.6330 6.6721" Properties=species:S:1:pos:R:3 pbc="T T T"
La 0.0000 0.0000 0.0000
Sm -4.0123 0.0000 10.0082
Sm -2.0061 1.1582 3.3361
Sm 2.0061 1.1582 3.3361
Sm 0.0000 0.0000 10.0082
Th -2.0061 -1.1582 6.6721
Th -2.0061 1.1582 13.3443
Th 0.0000 2.3165 6.6721
S 0.0000 0.0000 4.9681
S -1.9882 -1.1479 11.6319
S 0.0000 -2.2957 8.3845
S -1.9882 1.1479 8.3845
S 1.9882 -1.1479 11.6319
S 0.0000 2.2957 11.6319
S 1.9882 1.1479 8.3845
S 0.0000 0.0000 15.0483
```

Output
Density (g/cm3): 7.56
Total magnetization (μB/f.u.): 0.00
Symmetry: No. 166
ΔE_f (raw) (meV per atom): -1967